# 1
## SrBeNi2 (meta-GGA SCAN)

Data for SrBeNi2 at its PBEsol-relaxed geometry.

abc: 4.204 4.204 3.388
angles: 90.00 90.00 93.14
Positions (direct):
Sr1 0.000 0.000 0.000
Be1 0.500 0.500 0.000
Ni1 0.000 0.500 0.500
Ni2 0.500 0.000 0.500

Summary:
- energy relative to the elements (kJ/mol of atoms) = 60
- offset from the most stable computed form (meV/atom) = 720

# 2
## As3RuN (meta-GGA SCAN)

Data for As3RuN at its PBEsol-relaxed geometry.

abc: 4.156 4.156 4.156
angles: 90.00 90.00 90.00
Positions (direct):
As1 0.000 0.000 0.500
As2 0.000 0.500 0.000
As3 0.500 0.000 0.000
Ru1 0.500 0.500 0.500
N1 0.000 0.000 0.000

Summary:
- raw formation energy (eV per atom) = 0.89
- offset from the most stable computed form (meV/atom) = 0

# 3
## TbSiRh (meta-GGA SCAN)

Data for TbSiRh at its PBEsol-relaxed geometry.

abc: 6.887 4.234 7.216
angles: 90.00 90.00 90.00
Positions (direct):
Tb1 0.006 0.250 0.186
Tb2 0.494 0.750 0.686
Tb3 0.506 0.250 0.314
Tb4 0.994 0.750 0.814
Si1 0.201 0.250 0.605
Si2 0.299 0.750 0.105
Si3 0.701 0.250 0.895
Si4 0.799 0.750 0.395
Rh1 0.152 0.750 0.429
Rh2 0.348 0.250 0.929
Rh3 0.652 0.750 0.071
Rh4 0.848 0.250 0.571

Summary:
- raw formation energy (eV per atom) = -1.14

# 4
## TaInBr2 (meta-GGA SCAN)

Data for TaInBr2 at its PBEsol-relaxed geometry.

abc: 5.775 5.775 3.188
angles: 104.53 104.53 114.02
Positions (direct):
Ta1 0.000 0.000 0.000
In1 0.500 0.500 0.000
Br1 0.000 0.500 0.000
Br2 0.500 0.000 0.000

Summary:
- raw formation energy (eV per atom) = 0.45
- offset from the most stable computed form (meV/atom) = 249

# 5
## Ta2AgP (meta-GGA SCAN)

Data for Ta2AgP at its PBEsol-relaxed geometry.

abc: 4.868 4.868 4.868
angles: 137.20 122.35 74.40
Positions (direct):
Ta1 0.217 0.217 0.000
Ta2 0.783 0.783 0.000
Ag1 0.500 0.000 0.500
P1 0.000 0.500 0.500

Summary:
- energy relative to the elements (kJ/mol of atoms) = -2

# 6
## LiScRe2 (meta-GGA SCAN)

Data for LiScRe2 at its PBEsol-relaxed geometry.

abc: 2.747 4.325 5.339
angles: 90.00 100.29 90.00
Positions (direct):
Li1 0.000 0.000 0.000
Sc1 0.292 0.500 0.758
Re1 0.569 0.000 0.459
Re2 0.834 0.500 0.281

Summary:
- energy relative to the elements (kJ/mol of atoms) = 6
- offset from the most stable computed form (meV/atom) = 0

# 7
## Dy5Sn18Rh6 (meta-GGA SCAN)

Data for Dy5Sn18Rh6 at its PBEsol-relaxed geometry.

abc: 9.736 9.736 9.736
angles: 60.00 60.00 60.00
Positions (direct):
Dy1 0.000 0.000 0.000
Dy2 0.109 0.630 0.630
Dy3 0.630 0.109 0.630
Dy4 0.630 0.630 0.109
Dy5 0.630 0.630 0.630
Sn1 0.010 0.010 0.340
Sn2 0.010 0.010 0.641
Sn3 0.010 0.340 0.010
Sn4 0.010 0.340 0.641
Sn5 0.010 0.641 0.010
Sn6 0.010 0.641 0.340
Sn7 0.250 0.250 0.250
Sn8 0.340 0.010 0.010
Sn9 0.340 0.010 0.641
Sn10 0.340 0.641 0.010
Sn11 0.413 0.413 0.413
Sn12 0.413 0.413 0.762
Sn13 0.413 0.762 0.413
Sn14 0.641 0.010 0.010
Sn15 0.641 0.010 0.340
Sn16 0.641 0.340 0.010
Sn17 0.750 0.750 0.750
Sn18 0.762 0.413 0.413
Rh1 0.255 0.255 0.745
Rh2 0.255 0.745 0.255
Rh3 0.255 0.745 0.745
Rh4 0.745 0.255 0.255
Rh5 0.745 0.255 0.745
Rh6 0.745 0.745 0.255

Summary:
- energy relative to the elements (kJ/mol of atoms) = -58

# 8
## KMn2Te (meta-GGA SCAN)

Data for KMn2Te at its PBEsol-relaxed geometry.

abc: 7.226 7.226 7.226
angles: 32.47 32.47 32.47
Positions (direct):
K1 0.000 0.000 0.000
Mn1 0.207 0.207 0.207
Mn2 0.522 0.522 0.522
Te1 0.795 0.795 0.795

Summary:
- raw formation energy (eV per atom) = -0.16

# 9
## Ga2CuAsO (meta-GGA SCAN)

Data for Ga2CuAsO at its PBEsol-relaxed geometry.

abc: 4.276 4.276 4.259
angles: 90.00 90.00 90.00
Positions (direct):
Ga1 0.000 0.500 0.000
Ga2 0.500 0.000 0.000
Cu1 0.000 0.000 0.500
As1 0.500 0.500 0.500
O1 0.500 0.500 0.000

Summary:
- raw formation energy (eV per atom) = 0.22

# 10
## SrMnRh2 (meta-GGA SCAN)

Data for SrMnRh2 at its PBEsol-relaxed geometry.

abc: 4.597 4.597 4.597
angles: 60.00 60.00 60.00
Positions (direct):
Sr1 0.000 0.000 0.000
Mn1 0.250 0.250 0.250
Rh1 0.500 0.500 0.500
Rh2 0.750 0.750 0.750

Summary:
- energy relative to the elements (kJ/mol of atoms) = 21
- offset from the most stable computed form (meV/atom) = 213

# 11
## Hg2OsSe (meta-GGA SCAN)

Data for Hg2OsSe at its PBEsol-relaxed geometry.

abc: 8.926 8.926 8.926
angles: 21.35 21.35 21.35
Positions (direct):
Hg1 0.000 0.000 0.000
Hg2 0.241 0.241 0.241
Os1 0.494 0.494 0.494
Se1 0.773 0.773 0.773

Summary:
- raw formation energy (eV per atom) = 0.26

# 12
## RbLaMoI2 (meta-GGA SCAN)

Data for RbLaMoI2 at its PBEsol-relaxed geometry.

abc: 5.406 5.406 5.356
angles: 90.00 90.00 90.00
Positions (direct):
Rb1 0.000 0.000 0.000
La1 0.500 0.500 0.000
Mo1 0.000 0.000 0.500
I1 0.000 0.500 0.500
I2 0.500 0.000 0.500

Summary:
- raw formation energy (eV per atom) = 0.71

Calculated values (g/cm3) of mass density for the records, taken in order: 5.9 7.9 9.2 8.8 12.9 11.3 9.1 4.8 6.3 8.4 13.5 6.1.